DFT (PBE+U) results for a geometry-optimized VAgPO2 structure.

Lattice parameters (Å, degrees): 3.9837 3.9837 5.0234 90.00 90.00 90.00
Last column: nearest neighbours and their distance in Å.
Element x y z (fractional)
P 0.0000 0.0000 0.5000  2 Ag 2.51
V 0.5000 0.5000 0.5000  4 P 2.82
O 0.5000 0.0000 0.0000  2 Ag 1.99
O 0.0000 0.5000 0.0000  2 Ag 1.99
Ag 0.0000 0.0000 0.0000  4 O 1.99

Calculated values
* E_tot: -22.45 eV for the cell shown
* D(E_F): 5.62 states/eV/f.u.
* volume: 80 Å³ per cell
* space-group type: P4/mmm (123)
* energy above the most stable polymorph in this dataset: 1307.6 meV per atom